Entry 1:
Computed, not measured: an optimized crystal structure of MgTa2Se at the PBEsol level of DFT.

The structure in extended XYZ format:
```
4
Lattice="-1.990 2.467 -0.895 -3.404 -3.002 -0.704 -1.368 0.509 4.446" Properties=species:S:1:pos:R:3 pbc="T T T"
Se -2.386 -1.246 1.871
Mg -1.679 1.488 1.775
Ta 0.000 0.000 0.000
Ta -2.697 -0.268 -0.799
```

Computed properties:
- Uncorrected formation energy: 0.185 eV per atom
- Space group: Pmmm, No. 47
- Magnetization: 0.00 μB per formula unit
- Energy above the most stable polymorph in this dataset: 1.51 kcal/mol of atoms



Entry 2:
Computed, not measured: an optimized crystal structure of Li2FeAu at the PBEsol level of DFT.

The structure in extended XYZ format:
```
4
Lattice="-0.955 0.013 2.460 4.295 -1.404 1.317 -0.417 4.964 -1.424" Properties=species:S:1:pos:R:3 pbc="T T T"
Fe 2.147 -0.702 0.658
Li 1.462 1.786 1.176
Li -0.208 2.482 -0.712
Au -0.477 0.006 1.230
```

Computed properties:
- ΔH_f (0 K): 0.020 eV/atom
- Space group: C2/m, No. 12
- Magnetization: 2.45 μB per formula unit



Entry 3:
Computed, not measured: an optimized crystal structure of NiPtBr2 at the PBEsol level of DFT.

The structure in extended XYZ format:
```
4
Lattice="3.296 0.000 0.000 0.000 3.806 0.000 0.000 0.000 6.202" Properties=species:S:1:pos:R:3 pbc="T T T"
Br 1.648 0.000 3.101
Br 0.000 0.000 0.000
Pt 0.000 1.903 3.101
Ni 1.648 1.903 0.000
```

Computed properties:
- Uncorrected formation energy: 0.518 eV per atom
- Space group: Pmmm, No. 47
- Magnetization: 0.80 μB per formula unit
- Energy above the most stable polymorph in this dataset: 0.74 kcal/mol of atoms



Entry 4:
Computed, not measured: an optimized crystal structure of CsMo3Cl7 at the PBEsol level of DFT.

The structure in extended XYZ format:
```
44
Lattice="-4.951 6.318 -5.456 4.735 -7.363 -4.191 -11.901 -8.318 1.167" Properties=species:S:1:pos:R:3 pbc="T T T"
Mo -8.733 -10.123 -5.100
Mo -4.234 0.147 -3.294
Mo -9.450 -8.799 -2.982
Mo -7.753 -7.758 -4.619
Mo -6.036 -1.369 -6.108
Mo -3.531 -1.159 -5.428
Mo -6.950 -8.581 -2.287
Mo -5.219 -2.212 -3.790
Mo -6.715 -0.094 -3.949
Mo -6.256 -9.875 -4.432
Mo -5.029 0.955 -5.633
Mo -7.952 -10.910 -2.749
Cl -8.974 -3.299 -1.323
Cl -2.853 -1.867 -3.170
Cl -5.412 -7.638 -3.934
Cl -5.868 -0.948 -1.800
Cl -7.776 -5.640 -5.787
Cl -11.538 -7.941 -2.104
Cl -5.679 2.118 -3.583
Cl -10.288 -11.045 -3.456
Cl -12.941 -6.598 -6.850
Cl -14.493 -3.814 -2.833
Cl -8.656 -9.575 -0.803
Cl -5.561 -10.612 -2.207
Cl -4.600 -3.337 -5.891
Cl -0.045 -3.348 -1.517
Cl -7.566 -2.326 -4.461
Cl -1.450 -2.012 -6.321
Cl -10.745 -1.394 -5.803
Cl -7.423 0.664 -6.163
Cl -5.192 -4.341 -2.636
Cl -4.338 -0.363 -7.594
Cl -3.992 -6.675 -7.042
Cl -8.386 -6.617 -2.532
Cl -7.090 -9.040 -6.593
Cl 1.536 -6.177 -5.560
Cl -10.115 -8.111 -5.251
Cl -2.251 -8.542 -2.595
Cl -2.690 1.082 -4.939
Cl -7.287 -12.091 -4.784
Cs -6.359 -4.444 0.624
Cs -11.124 -4.813 -4.112
Cs -1.945 -5.214 -4.274
Cs -0.408 -0.285 0.040
```

Computed properties:
- Uncorrected formation energy: -1.172 eV per atom
- Space group: P31c, No. 159
- Magnetization: 0.00 μB per formula unit



Entry 5:
Computed, not measured: an optimized crystal structure of LaAgAu at the PBEsol level of DFT.

The structure in extended XYZ format:
```
3
Lattice="-1.357 2.670 2.349 -3.512 -0.610 -1.335 1.740 -4.308 2.818" Properties=species:S:1:pos:R:3 pbc="T T T"
Ag -0.013 -0.061 0.062
Au -2.659 -0.030 1.582
La -0.457 -2.157 2.188
```

Computed properties:
- ΔH_f (0 K): -0.487 eV/atom
- Space group: I4mm, No. 107
- Magnetization: 0.00 μB per formula unit
- Energy above the most stable polymorph in this dataset: 1.40 kcal/mol of atoms



Entry 6:
Computed, not measured: an optimized crystal structure of KCoCl at the PBEsol level of DFT.

The structure in extended XYZ format:
```
3
Lattice="3.363 0.249 0.000 -1.201 3.151 0.000 -1.081 -1.700 5.912" Properties=species:S:1:pos:R:3 pbc="T T T"
K 0.000 0.000 4.031
Co 1.081 1.700 1.448
Cl 0.000 0.000 0.433
```

Computed properties:
- Uncorrected formation energy: 0.183 eV per atom
- Space group: Fmm2, No. 42
- Magnetization: 1.62 μB per formula unit
- Energy above the most stable polymorph in this dataset: 0.00 kcal/mol of atoms



Entry 7:
Computed, not measured: an optimized crystal structure of SrCaZn at the PBEsol level of DFT.

The structure in extended XYZ format:
```
3
Lattice="-1.622 3.639 -1.381 -1.813 -3.655 -1.064 -4.126 0.361 5.794" Properties=species:S:1:pos:R:3 pbc="T T T"
Ca -0.313 0.027 0.439
Sr -4.239 -1.006 2.327
Zn -3.009 1.323 0.583
```

Computed properties:
- ΔH_f (0 K): 0.011 eV/atom
- Space group: P3m1, No. 156
- Magnetization: 0.00 μB per formula unit
- Energy above the most stable polymorph in this dataset: 3.21 kcal/mol of atoms



Entry 8:
Computed, not measured: an optimized crystal structure of CrSb2As at the PBEsol level of DFT.

The structure in extended XYZ format:
```
4
Lattice="3.188 0.000 0.000 0.000 3.188 0.000 0.000 0.000 7.697" Properties=species:S:1:pos:R:3 pbc="T T T"
Cr 1.594 1.594 5.377
Sb 1.594 1.594 2.362
Sb 0.000 0.000 7.181
As 0.000 0.000 4.322
```

Computed properties:
- Uncorrected formation energy: 0.109 eV per atom
- Space group: P4mm, No. 99
- Magnetization: 0.00 μB per formula unit



Entry 9:
Computed, not measured: an optimized crystal structure of Tb4Mg3Co2 at the PBEsol level of DFT.

The structure in extended XYZ format:
```
9
Lattice="-2.278 -2.292 1.718 -2.424 -2.497 -6.545 6.296 -4.410 2.466" Properties=species:S:1:pos:R:3 pbc="T T T"
Mg 0.000 0.000 0.000
Mg 1.428 -3.968 -3.399
Mg 2.443 -2.939 -0.680
Tb -0.999 -2.918 -1.318
Tb 2.593 -6.281 -1.043
Tb 3.195 -4.592 2.008
Tb -1.601 -4.607 -4.369
Co -0.889 -2.104 -3.986
Co 4.761 -4.803 -0.093
```

Computed properties:
- ΔH_f (0 K): -0.152 eV/atom
- Space group: P2/m, No. 10
- Magnetization: 0.00 μB per formula unit



Entry 10:
Computed, not measured: an optimized crystal structure of Cs6Fe2O5 at the PBEsol level of DFT.

The structure in extended XYZ format:
```
13
Lattice="7.081 0.043 0.012 -3.267 6.282 0.012 -0.327 -0.543 7.227" Properties=species:S:1:pos:R:3 pbc="T T T"
Cs -0.923 4.499 3.625
Cs 1.282 2.126 1.385
Cs 2.205 3.657 5.866
Cs 4.409 1.284 3.625
Cs 4.915 1.349 0.012
Cs -1.102 4.977 0.012
O 1.262 5.126 1.649
O -0.164 -0.271 3.613
O -0.458 2.273 5.601
O 2.224 0.656 5.601
O 3.944 3.509 1.649
Fe 2.959 4.908 2.290
Fe 0.527 0.874 4.961
```

Computed properties:
- Uncorrected formation energy: -1.181 eV per atom
- Space group: C2/m, No. 12
- Magnetization: 8.00 μB per formula unit



Entry 11:
Computed, not measured: an optimized crystal structure of GaFeF3 at the PBEsol level of DFT.

The structure in extended XYZ format:
```
5
Lattice="-1.150 -2.662 -2.849 2.765 -2.651 1.361 -2.749 -1.553 2.560" Properties=species:S:1:pos:R:3 pbc="T T T"
Ga -0.567 -3.433 0.536
Fe 0.000 0.000 0.000
F -1.374 -0.776 1.280
F 1.382 -1.325 0.680
F -0.575 -1.331 -1.424
```

Computed properties:
- Uncorrected formation energy: -1.656 eV per atom
- Space group: Pm-3m, No. 221
- Magnetization: 4.00 μB per formula unit



Entry 12:
Computed, not measured: an optimized crystal structure of YCrBr2 at the PBEsol level of DFT.

The structure in extended XYZ format:
```
4
Lattice="-4.646 -1.053 -1.877 -3.754 -1.492 3.146 -3.926 3.140 0.972" Properties=species:S:1:pos:R:3 pbc="T T T"
Br 0.000 0.000 0.000
Br -9.245 0.446 1.681
Cr -6.163 0.297 1.120
Y -3.082 0.149 0.560
```

Computed properties:
- Uncorrected formation energy: -0.007 eV per atom
- Space group: F-43m, No. 216
- Magnetization: 5.01 μB per formula unit
- Energy above the most stable polymorph in this dataset: 8.04 kcal/mol of atoms



Entry 13:
Computed, not measured: an optimized crystal structure of SrZr2Tl at the PBEsol level of DFT.

The structure in extended XYZ format:
```
4
Lattice="-3.013 -0.925 -0.958 -0.114 -2.182 2.465 -3.906 6.735 5.781" Properties=species:S:1:pos:R:3 pbc="T T T"
Tl -4.586 3.657 5.227
Zr -2.382 -0.143 1.964
Zr -3.902 6.729 5.776
Sr -2.022 3.486 2.992
```

Computed properties:
- ΔH_f (0 K): 0.023 eV/atom
- Space group: P4mm, No. 99
- Magnetization: 0.00 μB per formula unit
- Energy above the most stable polymorph in this dataset: 0.00 kcal/mol of atoms



Entry 14:
Computed, not measured: an optimized crystal structure of CsSr3 at the PBEsol level of DFT.

The structure in extended XYZ format:
```
4
Lattice="6.935 0.000 0.000 3.468 6.006 0.000 3.468 2.002 5.663" Properties=species:S:1:pos:R:3 pbc="T T T"
Sr 10.403 6.006 4.247
Sr 3.468 2.002 1.416
Sr 6.935 4.004 2.831
Cs 0.000 0.000 0.000
```

Computed properties:
- ΔH_f (0 K): 0.155 eV/atom
- Space group: Fm-3m, No. 225
- Magnetization: 0.00 μB per formula unit



Entry 15:
Computed, not measured: an optimized crystal structure of SrTl2Zn2 at the PBEsol level of DFT.

The structure in extended XYZ format:
```
5
Lattice="-1.309 0.635 -4.360 3.346 -2.817 -1.415 -4.587 -3.360 3.311" Properties=species:S:1:pos:R:3 pbc="T T T"
Tl -2.439 -1.908 -1.969
Tl -0.111 -3.634 -0.496
Zn -2.816 -3.512 0.334
Zn 0.266 -2.029 -2.798
Sr 0.000 0.000 0.000
```

Computed properties:
- ΔH_f (0 K): -0.214 eV/atom
- Space group: I4/mmm, No. 139
- Magnetization: 0.00 μB per formula unit
- Energy above the most stable polymorph in this dataset: 0.00 kcal/mol of atoms



Entry 16:
Computed, not measured: an optimized crystal structure of FeTc2As at the PBEsol level of DFT.

The structure in extended XYZ format:
```
4
Lattice="-0.579 -0.760 -2.662 3.700 -0.199 -0.748 0.018 -4.831 1.375" Properties=species:S:1:pos:R:3 pbc="T T T"
Tc 1.565 -1.638 -1.375
Tc 0.000 -0.026 0.007
Fe 1.574 -4.061 -0.686
As 0.009 -2.479 0.705
```

Computed properties:
- ΔH_f (0 K): 0.094 eV/atom
- Space group: Pmm2, No. 25
- Magnetization: 2.17 μB per formula unit
- Energy above the most stable polymorph in this dataset: 2.15 kcal/mol of atoms



Entry 17:
Computed, not measured: an optimized crystal structure of La2MgCd at the PBEsol level of DFT.

The structure in extended XYZ format:
```
4
Lattice="-2.529 -1.993 -1.424 3.321 -3.686 -0.738 -0.122 -1.421 6.549" Properties=species:S:1:pos:R:3 pbc="T T T"
Cd 0.465 -3.776 3.909
La -0.158 -3.654 0.493
La -0.229 -1.457 6.244
Mg -0.857 -1.343 2.850
```

Computed properties:
- ΔH_f (0 K): -0.173 eV/atom
- Space group: Amm2, No. 38
- Magnetization: 0.00 μB per formula unit



Entry 18:
Computed, not measured: an optimized crystal structure of GaAg3Rh at the PBEsol level of DFT.

The structure in extended XYZ format:
```
5
Lattice="-0.425 -4.139 2.630 4.758 -0.987 -0.785 1.188 2.474 4.086" Properties=species:S:1:pos:R:3 pbc="T T T"
Rh 0.000 0.000 0.000
Ag 0.594 1.237 2.043
Ag 2.379 -0.494 -0.393
Ag -0.212 -2.070 1.315
Ga 2.761 -1.326 2.965
```

Computed properties:
- ΔH_f (0 K): 1.092 eV/atom
- Space group: Pm-3m, No. 221
- Magnetization: 0.02 μB per formula unit



Entry 19:
Computed, not measured: an optimized crystal structure of BaCdRh at the PBEsol level of DFT.

The structure in extended XYZ format:
```
3
Lattice="3.400 0.000 0.000 0.000 3.891 0.000 -1.700 -1.946 5.558" Properties=species:S:1:pos:R:3 pbc="T T T"
Ba 1.700 1.946 5.497
Rh 0.000 0.000 3.269
Cd 1.700 1.946 2.349
```

Computed properties:
- ΔH_f (0 K): -0.019 eV/atom
- Space group: Imm2, No. 44
- Magnetization: 0.00 μB per formula unit



Entry 20:
Computed, not measured: an optimized crystal structure of Tl3SnOs at the PBEsol level of DFT.

The structure in extended XYZ format:
```
5
Lattice="5.220 0.000 0.000 0.000 5.220 0.000 0.000 0.000 5.220" Properties=species:S:1:pos:R:3 pbc="T T T"
Tl 2.610 0.000 0.000
Tl 0.000 2.610 0.000
Tl 0.000 0.000 2.610
Os 0.000 0.000 0.000
Sn 2.610 2.610 2.610
```

Computed properties:
- ΔH_f (0 K): 0.672 eV/atom
- Space group: Pm-3m, No. 221
- Magnetization: 0.04 μB per formula unit